Material: Rb2TmV2O6
Method: DFT, PBE+U
State: relaxed

Unit cell a=6.1354 b=6.1354 c=7.0384 alpha=64.16 beta=64.16 gamma=60.00
Each line ends with the local moment (μB).
Sites, in units of the cell vectors:
Rb 0.7866 0.7866 0.6401  0.00
Rb 0.2134 0.2134 0.3599  0.00
Tm 0.0000 0.0000 0.0000  0.01
V 0.4177 0.4177 0.7469  0.53
V 0.5823 0.5823 0.2531  0.53
O 0.7574 0.7574 0.2216  -0.01
O 0.2636 0.7574 0.2216  -0.01
O 0.7574 0.2636 0.2216  -0.01
O 0.2426 0.7364 0.7784  -0.01
O 0.7364 0.2426 0.7784  -0.01
O 0.2426 0.2426 0.7784  -0.01

Summary:
VASP energy: -6.822 eV/atom
Space group: R-3m, No. 166
Density: 4.50 g cm⁻³